# 1
! PuMnFe2O8 | Alexandria | PBE with a Hubbard U | optimized geometry; values from VASP
! * energy: -91.8 eV per formula unit
! * Fermi-level density of states: 4.38 states/eV/f.u.
&SYSTEM
  ibrav = 0, nat = 12, ntyp = 4
/
ATOMIC_SPECIES
Pu 244.00 Pu.upf
Mn 54.94 Mn.upf
Fe 55.84 Fe.upf
O 16.00 O.upf
ATOMIC_POSITIONS angstrom
Pu 0.000 0.000 0.000
Mn 0.000 3.017 0.000
Fe 2.236 1.558 2.394
Fe 2.236 4.477 2.394
O 0.623 1.565 3.915
O 0.623 4.470 3.915
O 1.377 3.017 1.482
O 1.422 0.000 1.532
O 3.050 0.000 3.257
O 3.096 3.017 3.306
O 3.850 1.565 0.874
O 3.850 4.470 0.874
CELL_PARAMETERS angstrom
4.790 0.000 0.000
0.000 6.035 0.000
-0.318 0.000 4.789

=====

# 2
! PuMn2FeO6 | Alexandria | PBE with a Hubbard U | optimized geometry; values from VASP
! * energy: -83.9 eV per formula unit
! * Fermi-level density of states: 8.17 states/eV/f.u.
&SYSTEM
  ibrav = 0, nat = 10, ntyp = 4
/
ATOMIC_SPECIES
Pu 244.00 Pu.upf
Mn 54.94 Mn.upf
Fe 55.84 Fe.upf
O 16.00 O.upf
ATOMIC_POSITIONS angstrom
Pu 0.000 0.000 0.000
Mn 2.613 1.649 1.805
Mn 7.666 4.788 4.515
Fe 5.165 3.222 2.599
O 3.218 2.983 3.502
O 4.303 4.663 1.115
O 5.968 4.898 3.508
O 4.519 1.864 0.969
O 6.079 1.510 3.591
O 6.808 3.219 0.964
CELL_PARAMETERS angstrom
5.362 0.000 0.000
2.574 4.766 0.000
2.384 1.634 4.874